SmNp2Tl3S6 PBE relaxed; size of the total moment = 8.00 μB per formula unit; N(E_F) = 21.493 states/eV/f.u.; E_form (uncorrected) = -1.16 eV per atom; volume = 27.11 A^3/atom; total DFT energy (no corrections) = -6.37 eV per atom
1.0
7.070 0.000 0.001
-3.534 6.124 0.001
-1.178 -2.040 7.512
S Tl Np Sm
6 3 2 1
direct
0.066 0.406 0.197
0.594 0.934 0.803
0.406 0.066 0.197
0.275 0.275 0.804
0.934 0.594 0.803
0.725 0.725 0.196
0.166 0.834 0.500
0.500 0.500 0.500
0.834 0.166 0.500
0.667 0.333 0.000
0.333 0.667 0.000
0.000 0.000 0.000